This record from Alexandria describes a geometry-optimized ReOsPd2 structure. The functional is PBE-GGA.

```
ReOsPd2
1.0
5.614 0.000 0.000
0.000 5.614 0.000
2.807 2.807 5.565
Pd Re Os
4 2 2
Direct
0.625 0.125 0.250
0.875 0.875 0.750
0.375 0.375 0.750
0.125 0.625 0.250
0.500 0.500 0.000
0.250 0.750 0.500
0.750 0.250 0.500
0.000 0.000 0.000
```

Calculated values
N(E_F) ... 2.92 states/eV/f.u.
SG ... No. 122
Formation energy ... 1812 meV/atom